1.
The following is a DFT calculation (PBE) of a relaxed structure of LiTa2Si.

Cell: 3.860 2.890 5.996 Å, 68.66 90.00 90.00°
Positions (direct):
Li 0.500 0.250 0.250
Si 0.500 0.750 0.750
Ta 0.000 0.979 0.994
Ta 0.000 0.521 0.506

Summary:
formation energy from raw total energies: 0.1 eV per formula unit
M_tot: 0.0 μB/cell
VASP energy: -7.72 eV per atom

***

2.
The following is a DFT calculation (PBE) of a relaxed structure of Ba8Sn2Pt.

Cell: 5.880 7.916 11.183 Å, 105.22 105.24 90.00°
Positions (direct):
Ba 0.408 0.586 0.816
Ba 0.650 0.950 0.300
Ba 0.787 0.706 0.573
Ba 0.971 0.198 0.942
Ba 0.213 0.294 0.427
Ba 0.350 0.050 0.700
Ba 0.592 0.414 0.184
Ba 0.029 0.802 0.058
Sn 0.812 0.279 0.625
Sn 0.188 0.721 0.375
Pt 0.500 0.000 0.000

Summary:
M_tot: 0.0 μB/cell
VASP energy: -3.11 eV per atom
formation energy from the elements: -430 meV/atom

***

3.
The following is a DFT calculation (PBE) of a relaxed structure of Dy3HoAl8.

Cell: 5.548 5.548 9.651 Å, 73.30 73.30 60.00°
Positions (direct):
Dy 0.375 0.375 0.874
Dy 0.000 0.000 0.001
Dy 0.500 0.500 0.501
Ho 0.875 0.875 0.374
Al 0.937 0.437 0.188
Al 0.438 0.938 0.687
Al 0.437 0.437 0.188
Al 0.938 0.938 0.687
Al 0.188 0.188 0.437
Al 0.687 0.687 0.938
Al 0.437 0.937 0.188
Al 0.938 0.438 0.687

Summary:
M_tot: 0.0 μB/cell
excess energy over the best structure of this formula in the dataset: 0 meV/atom
VASP energy: -4.54 eV per atom
formation energy from the elements: -517 meV/atom

***

4.
The following is a DFT calculation (PBE) of a relaxed structure of GaFe4Ir5.

Cell: 2.728 2.728 18.016 Å, 90.00 90.00 90.00°
Site moments in Bohr magnetons follow the coordinates.
Positions (direct):
Ga 0.000 0.000 0.000  -0.01
Fe 0.000 0.000 0.201  2.42
Fe 0.000 0.000 0.400  2.25
Fe 0.000 0.000 0.600  2.25
Fe 0.000 0.000 0.799  2.42
Ir 0.500 0.500 0.103  0.13
Ir 0.500 0.500 0.302  0.05
Ir 0.500 0.500 0.500  0.06
Ir 0.500 0.500 0.698  0.05
Ir 0.500 0.500 0.897  0.13

Summary:
M_tot: 9.8 μB/cell
VASP energy: -8.20 eV per atom
formation energy from the elements: -79 meV/atom

***

5.
The following is a DFT calculation (PBE) of a relaxed structure of RuIO2.

Cell: 9.204 9.204 9.204 Å, 19.26 19.26 19.26°
Positions (direct):
I 0.500 0.500 0.500
Ru 0.000 0.000 0.000
O 0.936 0.936 0.936
O 0.064 0.064 0.064

Summary:
formation energy from raw total energies: 0.3 eV per formula unit
M_tot: 0.0 μB/cell
excess energy over the best structure of this formula in the dataset: 476 meV/atom
VASP energy: -5.12 eV per atom

***

6.
The following is a DFT calculation (PBE) of a relaxed structure of Na4Pa3NbN8.

Cell: 6.950 6.968 6.950 Å, 119.91 120.00 90.00°
Positions (direct):
Na 0.500 0.000 0.000
Na 0.500 0.000 0.500
Na 0.000 0.000 0.000
Na 0.000 0.000 0.500
Pa 0.500 0.500 0.000
Pa 0.500 0.500 0.500
Pa 0.000 0.500 0.500
Nb 0.000 0.500 0.000
N 0.222 0.686 0.964
N 0.222 0.686 0.444
N 0.271 0.312 0.542
N 0.742 0.686 0.964
N 0.258 0.314 0.036
N 0.729 0.688 0.458
N 0.778 0.314 0.556
N 0.778 0.314 0.036

Summary:
formation energy from raw total energies: -17.4 eV per formula unit
M_tot: 0.0 μB/cell
VASP energy: -7.99 eV per atom

***

7.
The following is a DFT calculation (PBE) of a relaxed structure of MgSc4Tl.

Cell: 3.486 5.023 8.229 Å, 89.99 102.23 90.00°
Positions (direct):
Mg 0.434 0.503 0.114
Sc 0.235 0.003 0.716
Sc 0.906 0.003 0.057
Sc 0.098 0.503 0.442
Sc 0.777 0.503 0.799
Tl 0.569 0.003 0.383

Summary:
M_tot: 0.0 μB/cell
excess energy over the best structure of this formula in the dataset: 0 meV/atom
VASP energy: -5.02 eV per atom
formation energy from the elements: -143 meV/atom

***

8.
The following is a DFT calculation (PBE) of a relaxed structure of AcPmEuSi.

Cell: 5.536 5.536 5.536 Å, 60.00 60.00 60.00°
Site moments in Bohr magnetons follow the coordinates.
Positions (direct):
Eu 0.250 0.250 0.250  7.00
Ac 0.500 0.500 0.500  0.10
Si 0.750 0.750 0.750  -0.03
Pm 0.000 0.000 0.000  0.15

Summary:
formation energy from raw total energies: 0.0 eV per formula unit
M_tot: 7.7 μB/cell
VASP energy: -6.13 eV per atom

***

9.
The following is a DFT calculation (PBE) of a relaxed structure of AlSi2Se.

Cell: 3.144 4.544 4.739 Å, 90.00 90.00 90.00°
Positions (direct):
Si 0.000 0.000 0.000
Si 0.500 0.500 0.000
Al 0.500 0.000 0.500
Se 0.000 0.500 0.500

Summary:
formation energy from raw total energies: 1.4 eV per formula unit
M_tot: 0.0 μB/cell
excess energy over the best structure of this formula in the dataset: 386 meV/atom
VASP energy: -4.17 eV per atom

***

10.
The following is a DFT calculation (PBE) of a relaxed structure of Pm2MgP3Pt4.

Cell: 4.101 4.101 10.770 Å, 90.00 90.00 90.00°
Positions (direct):
Pm 0.500 0.000 0.228
Pm 0.000 0.500 0.772
Mg 0.500 0.500 0.500
P 0.000 0.000 0.500
P 0.500 0.000 0.863
P 0.000 0.500 0.137
Pt 0.500 0.500 0.000
Pt 0.000 0.000 0.000
Pt 0.500 0.000 0.647
Pt 0.000 0.500 0.353

Summary:
M_tot: 0.0 μB/cell
VASP energy: -6.12 eV per atom
formation energy from the elements: -973 meV/atom

***

11.
The following is a DFT calculation (PBE) of a relaxed structure of Th2TaGe4Ir3.

Cell: 4.231 4.231 10.752 Å, 90.00 90.00 90.00°
Positions (direct):
Th 0.500 0.000 0.237
Th 0.000 0.500 0.763
Ta 0.500 0.500 0.500
Ge 0.500 0.500 0.000
Ge 0.000 0.000 0.000
Ge 0.500 0.000 0.645
Ge 0.000 0.500 0.355
Ir 0.000 0.000 0.500
Ir 0.500 0.000 0.874
Ir 0.000 0.500 0.126

Summary:
M_tot: 0.0 μB/cell
VASP energy: -7.88 eV per atom
formation energy from the elements: -706 meV/atom

***

12.
The following is a DFT calculation (PBE) of a relaxed structure of POsRu2.

Cell: 2.773 2.773 8.356 Å, 90.00 90.00 119.25°
Positions (direct):
P 0.500 0.500 0.000
Os 0.500 0.500 0.500
Ru 0.000 0.000 0.220
Ru 0.000 0.000 0.780

Summary:
M_tot: 0.0 μB/cell
VASP energy: -8.44 eV per atom
formation energy from the elements: 361 meV/atom